1.
! GGA-PBE KAu4Br12, optimized geometry; values from VASP
&SYSTEM
  ibrav = 0, nat = 17, ntyp = 3
/
ATOMIC_SPECIES
Br 79.90 Br.upf
Au 196.97 Au.upf
K 39.10 K.upf
ATOMIC_POSITIONS crystal
Br 0.297 0.489 0.192
Br 0.192 0.703 0.896
Br 0.808 0.703 0.511
Br 0.703 0.511 0.808
Br 0.192 0.297 0.489
Br 0.297 0.104 0.808
Br 0.808 0.297 0.104
Br 0.104 0.808 0.297
Br 0.896 0.192 0.703
Br 0.511 0.808 0.703
Br 0.703 0.896 0.192
Br 0.489 0.192 0.297
Au 0.000 0.000 0.500
Au 0.500 0.500 0.500
Au 0.500 0.000 0.000
Au 0.000 0.500 0.000
K 0.000 0.000 0.000
CELL_PARAMETERS angstrom
8.850 0.000 0.000
-2.950 8.344 0.000
-2.950 -4.172 7.226
! - E_form (uncorrected) (eV/f.u.) = -3.757
! - calculated total energy (eV per atom) = -2.238
! - SG = Im-3
! - D(E_F) (states/eV/f.u.) = 8.5

---

2.
! GGA-PBE BeRe2Ru, optimized geometry; values from VASP
&SYSTEM
  ibrav = 0, nat = 4, ntyp = 3
/
ATOMIC_SPECIES
Be 9.01 Be.upf
Re 186.21 Re.upf
Ru 101.07 Ru.upf
ATOMIC_POSITIONS crystal
Be 0.000 0.500 0.500
Re 0.500 0.500 0.000
Re 0.000 0.000 0.000
Ru 0.500 0.000 0.500
CELL_PARAMETERS angstrom
-4.702 -0.470 0.145
2.042 -0.935 -4.160
0.283 -2.608 0.725
! - polymorph energy (0 for the lowest one) (eV/atom) = 0.282
! - calculated total energy (eV per atom) = -9.263
! - SG = Cmmm
! - D(E_F) (states/eV/f.u.) = 4.0
! - calculated formation energy (meV/atom) = 212

---

3.
! GGA-PBE Ba3CaCu2O6, optimized geometry; values from VASP
&SYSTEM
  ibrav = 0, nat = 12, ntyp = 4
/
ATOMIC_SPECIES
O 16.00 O.upf
Ca 40.08 Ca.upf
Ba 137.33 Ba.upf
Cu 63.55 Cu.upf
ATOMIC_POSITIONS crystal
O 0.166 0.834 0.291
O 0.667 0.834 0.291
O 0.834 0.166 0.709
O 0.834 0.667 0.709
O 0.166 0.333 0.291
O 0.333 0.166 0.709
Ca 0.000 0.000 0.500
Ba 0.000 0.000 0.000
Ba 0.333 0.667 0.659
Ba 0.667 0.333 0.341
Cu 0.667 0.333 0.778
Cu 0.333 0.667 0.222
CELL_PARAMETERS angstrom
-4.105 2.494 -3.880
-1.008 -5.610 2.374
-3.349 2.886 5.398
! - E_form (uncorrected) (eV/f.u.) = -21.667
! - calculated total energy (eV per atom) = -5.615
! - SG = P-3m1
! - D(E_F) (states/eV/f.u.) = 6.3

---

4.
! GGA-PBE RbAlTlZn2, optimized geometry; values from VASP
&SYSTEM
  ibrav = 0, nat = 5, ntyp = 4
/
ATOMIC_SPECIES
Zn 65.41 Zn.upf
Rb 85.47 Rb.upf
Al 26.98 Al.upf
Tl 204.38 Tl.upf
ATOMIC_POSITIONS crystal
Zn 0.000 0.000 0.500
Zn 0.500 0.000 0.000
Rb 0.000 0.500 0.000
Al 0.000 0.000 0.000
Tl 0.500 0.500 0.500
CELL_PARAMETERS angstrom
-1.506 1.602 -4.559
-6.114 -0.752 1.756
-0.096 4.765 1.706
! - calculated total energy (eV per atom) = -1.524
! - SG = P4/mmm
! - D(E_F) (states/eV/f.u.) = 3.5
! - calculated formation energy (meV/atom) = 401

---

5.
! GGA-PBE LiZr2Cu, optimized geometry; values from VASP
&SYSTEM
  ibrav = 0, nat = 4, ntyp = 3
/
ATOMIC_SPECIES
Li 6.94 Li.upf
Zr 91.22 Zr.upf
Cu 63.55 Cu.upf
ATOMIC_POSITIONS crystal
Li 0.500 0.500 0.750
Zr 0.000 0.000 0.469
Zr 0.000 0.000 0.031
Cu 0.500 0.500 0.250
CELL_PARAMETERS angstrom
-0.010 0.855 -2.835
1.913 -2.163 -0.658
-6.693 -5.428 -1.615
! - polymorph energy (0 for the lowest one) (eV/atom) = 0.113
! - calculated total energy (eV per atom) = -5.650
! - SG = P4/mmm
! - D(E_F) (states/eV/f.u.) = 5.0
! - calculated formation energy (meV/atom) = 127

---

6.
! GGA-PBE SrSbOs2Br, optimized geometry; values from VASP
&SYSTEM
  ibrav = 0, nat = 5, ntyp = 4
/
ATOMIC_SPECIES
Sr 87.62 Sr.upf
Sb 121.76 Sb.upf
Os 190.23 Os.upf
Br 79.90 Br.upf
ATOMIC_POSITIONS crystal
Sr 0.500 0.500 0.500
Sb 0.000 0.000 0.000
Os 0.500 0.000 0.000
Os 0.000 0.000 0.500
Br 0.000 0.500 0.000
CELL_PARAMETERS angstrom
-4.891 -0.053 -0.214
0.053 -6.054 0.285
-0.216 0.228 4.886
! - E_form (uncorrected) (eV/f.u.) = 4.929
! - calculated total energy (eV per atom) = -5.001
! - SG = P4/mmm
! - D(E_F) (states/eV/f.u.) = 7.9

---

7.
! GGA-PBE Ti2CoTe4, optimized geometry; values from VASP
&SYSTEM
  ibrav = 0, nat = 7, ntyp = 3
/
ATOMIC_SPECIES
Ti 47.87 Ti.upf
Co 58.93 Co.upf
Te 127.60 Te.upf
ATOMIC_POSITIONS crystal
Ti 0.749 0.765 0.499
Ti 0.251 0.235 0.501
Co 0.000 0.000 0.000
Te 0.618 0.282 0.235
Te 0.109 0.770 0.219
Te 0.382 0.718 0.765
Te 0.891 0.230 0.781
CELL_PARAMETERS angstrom
3.840 0.000 0.000
0.000 6.578 -0.092
-1.920 -3.295 6.259
! - E_form (uncorrected) (eV/f.u.) = -3.673
! - calculated total energy (eV per atom) = -5.591
! - SG = C2/m
! - D(E_F) (states/eV/f.u.) = 5.0

---

8.
! GGA-PBE MnIrN2, optimized geometry; values from VASP
&SYSTEM
  ibrav = 0, nat = 4, ntyp = 3
/
ATOMIC_SPECIES
N 14.01 N.upf
Mn 54.94 Mn.upf
Ir 192.22 Ir.upf
ATOMIC_POSITIONS crystal
N 0.104 0.104 0.104
N 0.896 0.896 0.896
Mn 0.500 0.500 0.500
Ir 0.000 0.000 0.000
CELL_PARAMETERS angstrom
-5.573 -3.330 -0.184
-3.821 -5.128 -1.134
-4.105 -4.800 1.514
! - E_form (uncorrected) (eV/f.u.) = 0.361
! - polymorph energy (0 for the lowest one) (eV/atom) = 0.000
! - calculated total energy (eV per atom) = -8.580
! - SG = R-3m
! - D(E_F) (states/eV/f.u.) = 1.8

---

9.
! GGA-PBE CrAsPb2, optimized geometry; values from VASP
&SYSTEM
  ibrav = 0, nat = 4, ntyp = 3
/
ATOMIC_SPECIES
Pb 207.20 Pb.upf
Cr 52.00 Cr.upf
As 74.92 As.upf
ATOMIC_POSITIONS crystal
Pb 0.250 0.750 0.500
Pb 0.000 0.000 0.000
Cr 0.750 0.250 0.500
As 0.500 0.500 0.000
CELL_PARAMETERS angstrom
-0.485 5.548 1.260
-5.174 1.210 2.091
3.898 -3.963 1.306
! - calculated total energy (eV per atom) = -5.017
! - SG = I-4m2
! - D(E_F) (states/eV/f.u.) = 2.4
! - calculated formation energy (meV/atom) = 406

---

10.
! GGA-PBE MgCd2Te2, optimized geometry; values from VASP
&SYSTEM
  ibrav = 0, nat = 5, ntyp = 3
/
ATOMIC_SPECIES
Mg 24.30 Mg.upf
Te 127.60 Te.upf
Cd 112.41 Cd.upf
ATOMIC_POSITIONS crystal
Mg 0.000 0.000 0.000
Te 0.407 0.407 0.187
Te 0.593 0.593 0.813
Cd 0.750 0.250 0.500
Cd 0.250 0.750 0.500
CELL_PARAMETERS angstrom
-2.638 -0.025 3.161
-1.854 -3.323 -1.573
2.897 -6.557 5.048
! - E_form (uncorrected) (eV/f.u.) = -0.539
! - polymorph energy (0 for the lowest one) (eV/atom) = 0.106
! - calculated total energy (eV per atom) = -2.049
! - SG = I4/mmm
! - D(E_F) (states/eV/f.u.) = 1.1

---

11.
! GGA-PBE KHf2MgCo, optimized geometry; values from VASP
&SYSTEM
  ibrav = 0, nat = 5, ntyp = 4
/
ATOMIC_SPECIES
Hf 178.49 Hf.upf
Mg 24.30 Mg.upf
K 39.10 K.upf
Co 58.93 Co.upf
ATOMIC_POSITIONS crystal
Hf 0.000 0.000 0.500
Hf 0.500 0.000 0.000
Mg 0.500 0.500 0.500
K 0.000 0.000 0.000
Co 0.000 0.500 0.000
CELL_PARAMETERS angstrom
-0.928 1.205 -4.726
-2.418 -3.584 -0.439
-4.020 2.536 1.436
! - calculated total energy (eV per atom) = -3.886
! - SG = P4/mmm
! - D(E_F) (states/eV/f.u.) = 8.1
! - calculated formation energy (meV/atom) = 2055

---

12.
! GGA-PBE TbAlCu4, optimized geometry; values from VASP
&SYSTEM
  ibrav = 0, nat = 6, ntyp = 3
/
ATOMIC_SPECIES
Cu 63.55 Cu.upf
Al 26.98 Al.upf
Tb 158.93 Tb.upf
ATOMIC_POSITIONS crystal
Cu 0.501 0.499 0.500
Cu 0.998 0.499 0.500
Cu 0.667 0.333 0.000
Cu 0.501 0.002 0.500
Al 0.333 0.667 0.000
Tb 0.000 0.000 0.000
CELL_PARAMETERS angstrom
5.203 0.000 0.000
-2.601 4.506 0.000
0.000 0.000 4.010
! - calculated total energy (eV per atom) = -4.384
! - SG = P-6m2
! - D(E_F) (states/eV/f.u.) = 3.4
! - calculated formation energy (meV/atom) = -258